(1)
# Dy2ScBe3Pt4

Crystalline Dy2ScBe3Pt4 at its relaxed geometry (PBE, Alexandria via LeMat-Bulk).

## Properties
Its crystal system is tetragonal. The raw total energy is -6.021 eV per atom. As for the space group: P-4m2. The value obtained for the energy relative to the elements is -933 meV/atom. The density of states at the Fermi level is 0.418 states/eV/atom.

extended XYZ file:
```
10
Lattice="-2.740 -2.619 -1.273 0.762 -2.331 3.158 -7.421 5.073 5.535" Properties=species:S:1:pos:R:3 pbc="T T T"
Dy -3.068 -0.149 0.630
Dy -5.342 2.747 5.848
Be -0.463 -0.589 2.208
Be -3.710 2.537 2.768
Be -7.946 3.187 4.269
Pt 0.000 0.000 0.000
Pt -2.126 0.549 3.449
Pt -6.283 2.050 3.029
Pt -0.989 -2.475 0.942
Sc -4.699 0.062 3.710
```

---

(2)
# TbNd5DyHo2

Crystalline TbNd5DyHo2 at its relaxed geometry (PBE, Alexandria via LeMat-Bulk).

## Properties
Its crystal system is orthorhombic. The raw total energy is -4.548 eV per atom. As for the space group: Cmc2_1. The value obtained for the energy relative to the elements is 144 meV/atom. The density of states at the Fermi level is 1.594 states/eV/atom.

extended XYZ file:
```
18
Lattice="-0.065 -4.538 -3.383 8.585 5.514 -2.826 5.838 -5.420 7.159" Properties=species:S:1:pos:R:3 pbc="T T T"
Ho 11.291 -4.175 0.648
Ho 6.224 -3.277 4.276
Ho 7.999 -1.042 -3.491
Ho 3.795 -0.945 1.195
Nd 12.579 -0.901 0.968
Nd 0.387 0.003 -0.012
Nd 6.746 2.387 -3.332
Nd 11.271 -1.941 -2.348
Nd 6.614 0.130 -0.302
Nd 1.699 -3.469 -0.115
Nd 4.642 -2.068 -2.050
Nd 8.464 -5.242 2.134
Nd 4.957 -4.366 1.026
Nd 9.202 -1.899 2.371
Dy 7.129 -6.885 4.364
Dy 9.686 0.160 -0.400
Tb 3.466 1.236 -1.724
Tb 8.094 -3.082 -0.756
```

---

(3)
# Er3As4Rh4

Crystalline Er3As4Rh4 at its relaxed geometry (PBE, Alexandria via LeMat-Bulk).

## Properties
Its crystal system is orthorhombic. The raw total energy is -6.650 eV per atom. As for the space group: Immm. The value obtained for the energy relative to the elements is -1042 meV/atom. The density of states at the Fermi level is 0.402 states/eV/atom.

extended XYZ file:
```
11
Lattice="-2.640 2.196 2.166 -1.093 -5.558 4.305 6.939 3.805 0.795" Properties=species:S:1:pos:R:3 pbc="T T T"
As -1.544 -0.041 1.965
As 1.552 2.301 3.364
As 1.655 -1.857 3.901
As -2.189 -3.321 4.505
Rh 0.152 0.204 3.784
Rh -0.294 -2.062 5.539
Rh 3.055 0.239 3.481
Rh 3.500 2.505 1.726
Er 1.938 -0.088 6.257
Er -0.546 -2.779 2.153
Er 1.269 0.531 1.008
```

---

(4)
# CaSiMo2

Crystalline CaSiMo2 at its relaxed geometry (PBE, Alexandria via LeMat-Bulk).

## Properties
Its crystal system is cubic. The raw total energy is -7.035 eV per atom. For the uncorrected formation energy, the calculation gives 0.236 eV/atom. As for the space group: F-43m. The density of states at the Fermi level is 0.225 states/eV/atom.

extended XYZ file:
```
4
Lattice="-3.641 -0.054 2.777 -3.813 -2.198 -1.266 -1.214 -3.879 2.109" Properties=species:S:1:pos:R:3 pbc="T T T"
Mo 0.000 0.000 0.000
Mo -6.500 -4.597 2.715
Si -2.167 -1.532 0.905
Ca -4.334 -3.065 1.810
```

---

(5)
# NaSrGe

Crystalline NaSrGe at its relaxed geometry (PBE, Alexandria via LeMat-Bulk).

## Properties
Its crystal system is monoclinic. The raw total energy is -2.856 eV per atom. As for the space group: C2/m. The value obtained for the energy relative to the elements is -316 meV/atom. The density of states at the Fermi level is 0.476 states/eV/atom.

extended XYZ file:
```
12
Lattice="8.250 0.000 0.039 0.000 4.759 0.000 -5.993 0.000 9.632" Properties=species:S:1:pos:R:3 pbc="T T T"
Ge 4.713 0.000 3.640
Ge -2.456 0.000 6.031
Ge 1.717 2.380 8.456
Ge 0.540 2.380 1.215
Na 0.658 0.000 6.727
Na -1.397 2.380 7.760
Na 1.599 0.000 2.944
Na 3.654 2.380 1.911
Sr 6.536 0.000 0.818
Sr -4.279 0.000 8.853
Sr 3.539 2.380 5.634
Sr -1.282 2.380 4.037
```

---

(6)
# AcTlCdAg

Crystalline AcTlCdAg at its relaxed geometry (PBE, Alexandria via LeMat-Bulk).

## Properties
Its crystal system is cubic. The raw total energy is -2.798 eV per atom. As for the space group: F-43m. The value obtained for the energy relative to the elements is -238 meV/atom. The density of states at the Fermi level is 0.465 states/eV/atom.

extended XYZ file:
```
4
Lattice="-2.059 -3.938 3.032 2.479 -1.474 4.541 -2.211 1.151 4.767" Properties=species:S:1:pos:R:3 pbc="T T T"
Tl -0.895 -2.131 6.170
Ag 0.000 0.000 0.000
Cd -1.342 -3.196 9.255
Ac -0.447 -1.065 3.085
```

---

(7)
# Sm2TlSe

Crystalline Sm2TlSe at its relaxed geometry (PBE, Alexandria via LeMat-Bulk).

## Properties
Its crystal system is trigonal. The raw total energy is -4.902 eV per atom. For the uncorrected formation energy, the calculation gives -1.080 eV/atom. As for the space group: R-3m. For the energy above the most stable polymorph in this dataset, the calculation gives 0.0000 eV per atom. The density of states at the Fermi level is 0.613 states/eV/atom.

extended XYZ file:
```
4
Lattice="-3.460 1.296 1.689 1.104 -3.893 0.362 4.376 3.915 5.965" Properties=species:S:1:pos:R:3 pbc="T T T"
Sm 1.672 -0.037 5.898
Sm 0.348 1.355 2.117
Se 2.740 0.011 3.163
Tl -1.178 -1.299 1.025
```

---

(8)
# NaGaI2

Crystalline NaGaI2 at its relaxed geometry (PBE, Alexandria via LeMat-Bulk).

## Properties
Its crystal system is cubic. The raw total energy is -2.538 eV per atom. For the uncorrected formation energy, the calculation gives -0.676 eV/atom. As for the space group: Fm-3m. For the energy above the most stable polymorph in this dataset, the calculation gives 0.1157 eV per atom. The density of states at the Fermi level is 0.000 states/eV/atom.

extended XYZ file:
```
4
Lattice="0.000 4.047 4.047 4.047 0.000 4.047 4.047 4.047 0.000" Properties=species:S:1:pos:R:3 pbc="T T T"
I 6.070 6.070 6.070
I 2.023 2.023 2.023
Na 0.000 0.000 0.000
Ga 4.047 4.047 4.047
```

---

(9)
# CaFeOs

Crystalline CaFeOs at its relaxed geometry (PBE, Alexandria via LeMat-Bulk).

## Properties
Its crystal system is monoclinic. The raw total energy is -7.080 eV per atom. As for the space group: Cm. The value obtained for the energy relative to the elements is 151 meV/atom. For the energy above the most stable polymorph in this dataset, the calculation gives 0.0144 eV per atom. The density of states at the Fermi level is 1.199 states/eV/atom.

extended XYZ file:
```
6
Lattice="-4.326 2.427 -0.875 -1.353 -3.260 -2.355 -1.313 -0.676 5.509" Properties=species:S:1:pos:R:3 pbc="T T T"
Os -2.351 -2.200 3.517
Os -5.014 1.031 4.396
Ca -5.370 -0.965 -0.279
Ca -2.307 -0.339 0.916
Fe -2.638 0.239 4.127
Fe -4.431 -1.039 3.104
```

---

(10)
# LaMo2HI

Crystalline LaMo2HI at its relaxed geometry (PBE, Alexandria via LeMat-Bulk).

## Properties
Its crystal system is tetragonal. The raw total energy is -4.407 eV per atom. As for the space group: P4/mmm. The density of states at the Fermi level is 1.385 states/eV/atom.

extended XYZ file:
```
5
Lattice="4.888 0.000 0.000 0.000 6.156 0.000 0.000 0.000 4.888" Properties=species:S:1:pos:R:3 pbc="T T T"
La 0.000 3.078 0.000
H 2.444 3.078 2.444
Mo 2.444 0.000 0.000
Mo 0.000 0.000 2.444
I 0.000 0.000 0.000
```

---

(11)
# HgC3

Crystalline HgC3 at its relaxed geometry (PBE, Alexandria via LeMat-Bulk).

## Properties
Its crystal system is cubic. The raw total energy is -2.455 eV per atom. As for the space group: Pm-3m. The value obtained for the energy relative to the elements is 4538 meV/atom. For the energy above the most stable polymorph in this dataset, the calculation gives 3.7980 eV per atom. The density of states at the Fermi level is 1.055 states/eV/atom.

extended XYZ file:
```
4
Lattice="-4.094 -0.762 -1.687 1.575 -3.585 -2.203 -0.972 -2.599 3.533" Properties=species:S:1:pos:R:3 pbc="T T T"
Hg 0.000 0.000 0.000
C 0.788 -1.792 -1.102
C -0.486 -1.300 1.767
C -2.047 -0.381 -0.844
```

---

(12)
# Tl3SBr

Crystalline Tl3SBr at its relaxed geometry (PBE, Alexandria via LeMat-Bulk).

## Properties
Its crystal system is cubic. The raw total energy is -2.836 eV per atom. For the uncorrected formation energy, the calculation gives -0.256 eV/atom. As for the space group: Pm-3m. For the energy above the most stable polymorph in this dataset, the calculation gives 0.2530 eV per atom. The density of states at the Fermi level is 0.066 states/eV/atom.

extended XYZ file:
```
5
Lattice="6.000 0.000 0.000 0.000 6.000 0.000 0.000 0.000 6.000" Properties=species:S:1:pos:R:3 pbc="T T T"
S 0.000 0.000 0.000
Tl 0.000 0.000 3.000
Tl 0.000 3.000 0.000
Tl 3.000 0.000 0.000
Br 3.000 3.000 3.000
```

---

(13)
# KCd9Ga3

Crystalline KCd9Ga3 at its relaxed geometry (PBE, Alexandria via LeMat-Bulk).

## Properties
Its crystal system is monoclinic. The raw total energy is -1.432 eV per atom. As for the space group: C2/m. The value obtained for the energy relative to the elements is -16 meV/atom. The density of states at the Fermi level is 0.279 states/eV/atom.

extended XYZ file:
```
13
Lattice="5.490 -0.033 2.228 2.605 7.145 1.057 0.043 -0.017 7.771" Properties=species:S:1:pos:R:3 pbc="T T T"
Cd 4.783 5.580 3.634
Cd 4.459 2.505 4.544
Cd 1.303 3.572 0.529
Cd 2.132 1.531 2.558
Cd 6.408 2.488 7.620
Cd 1.730 4.606 3.436
Cd 3.355 1.515 7.423
Cd 6.006 5.563 8.498
Cd 3.679 4.590 6.513
Ga 4.048 3.556 1.643
Ga 0.021 -0.008 3.886
Ga 2.766 -0.025 5.000
K 0.000 0.000 0.000
```

---

(14)
# SnSbAu4

Crystalline SnSbAu4 at its relaxed geometry (PBE, Alexandria via LeMat-Bulk).

## Properties
Its crystal system is cubic. The raw total energy is -3.544 eV per atom. For the uncorrected formation energy, the calculation gives -0.005 eV/atom. As for the space group: F-43m. For the energy above the most stable polymorph in this dataset, the calculation gives 0.0461 eV per atom. The density of states at the Fermi level is 0.491 states/eV/atom.

extended XYZ file:
```
6
Lattice="5.662 0.000 0.000 2.831 4.904 0.000 2.831 1.635 4.623" Properties=species:S:1:pos:R:3 pbc="T T T"
Au 5.662 3.269 0.579
Au 4.248 4.086 2.889
Au 5.662 1.636 2.889
Au 7.077 4.086 2.889
Sb 2.831 1.635 1.156
Sn 0.000 0.000 0.000
```

---

(15)
# CsPrCdF6

Crystalline CsPrCdF6 at its relaxed geometry (PBE, Alexandria via LeMat-Bulk).

## Properties
Its crystal system is orthorhombic. The raw total energy is -5.088 eV per atom. For the uncorrected formation energy, the calculation gives -3.112 eV/atom. As for the space group: Imma. The density of states at the Fermi level is 0.000 states/eV/atom.

extended XYZ file:
```
18
Lattice="8.706 0.000 0.000 0.000 8.286 0.000 -4.353 -4.143 6.025" Properties=species:S:1:pos:R:3 pbc="T T T"
Pr 2.176 -2.071 3.013
Pr -2.176 -2.071 3.013
Cd 4.353 4.143 0.000
Cd 4.353 0.000 0.000
F 5.933 -0.329 1.630
F 4.353 2.071 0.716
F -1.580 -0.329 4.395
F 0.000 2.071 5.309
F 1.580 4.472 4.395
F 0.000 6.214 2.154
F 2.773 4.472 1.630
F 2.773 -0.329 1.630
F 1.580 -0.329 4.395
F -1.580 4.472 4.395
F 4.353 -2.071 3.871
F 5.933 4.472 1.630
Cs 0.000 2.071 2.432
Cs 4.353 2.071 3.593
```

---

(16)
# FeSi2Os

Crystalline FeSi2Os at its relaxed geometry (PBE, Alexandria via LeMat-Bulk).

## Properties
Its crystal system is trigonal. The raw total energy is -7.792 eV per atom. For the uncorrected formation energy, the calculation gives -0.158 eV/atom. As for the space group: R-3m. The density of states at the Fermi level is 0.785 states/eV/atom.

extended XYZ file:
```
4
Lattice="7.648 -0.015 -0.009 7.145 2.727 -0.009 7.145 1.310 2.392" Properties=species:S:1:pos:R:3 pbc="T T T"
Fe 5.485 1.006 0.594
Os 16.454 3.017 1.781
Si 21.830 4.002 2.363
Si 11.077 2.031 1.199
```

---

(17)
# Na3CuIr3O8

Crystalline Na3CuIr3O8 at its relaxed geometry (PBE, Alexandria via LeMat-Bulk).

## Properties
Its crystal system is monoclinic. The raw total energy is -5.881 eV per atom. For the uncorrected formation energy, the calculation gives -0.927 eV/atom. As for the space group: C2/m. The density of states at the Fermi level is 0.527 states/eV/atom.

extended XYZ file:
```
15
Lattice="-2.309 5.432 2.301 0.105 -5.186 3.628 5.433 2.936 -1.480" Properties=species:S:1:pos:R:3 pbc="T T T"
Na 0.053 -2.593 1.814
Na -1.102 0.123 2.964
Na 0.000 0.000 0.000
O -0.068 4.824 1.468
O 2.141 3.613 2.339
O 3.298 -1.642 2.982
O 1.088 -0.431 2.110
O 2.185 0.976 4.091
O -0.013 2.320 3.230
O 1.044 2.206 0.359
O 3.243 0.862 1.219
Ir 1.562 4.184 0.411
Ir 2.769 -1.125 1.074
Ir 1.615 1.591 2.225
Cu 2.717 1.468 -0.740
```

---

(18)
# Si3PBr

Crystalline Si3PBr at its relaxed geometry (PBE, Alexandria via LeMat-Bulk).

## Properties
Its crystal system is cubic. The raw total energy is -3.752 eV per atom. For the uncorrected formation energy, the calculation gives 0.918 eV/atom. As for the space group: Pm-3m. For the energy above the most stable polymorph in this dataset, the calculation gives 0.0000 eV per atom. The density of states at the Fermi level is 1.261 states/eV/atom.

extended XYZ file:
```
5
Lattice="4.759 0.000 0.000 0.000 4.759 0.000 0.000 0.000 4.759" Properties=species:S:1:pos:R:3 pbc="T T T"
Si 2.380 0.000 0.000
Si 0.000 2.380 0.000
Si 0.000 0.000 2.380
P 0.000 0.000 0.000
Br 2.380 2.380 2.380
```

---

(19)
# Nd2Ho8Cd

Crystalline Nd2Ho8Cd at its relaxed geometry (PBE, Alexandria via LeMat-Bulk).

## Properties
Its crystal system is monoclinic. The raw total energy is -4.285 eV per atom. As for the space group: C2/m. The value obtained for the energy relative to the elements is -5 meV/atom. The density of states at the Fermi level is 1.575 states/eV/atom.

extended XYZ file:
```
11
Lattice="-3.658 3.032 2.874 -4.259 -0.615 -4.771 -2.167 -9.618 2.025" Properties=species:S:1:pos:R:3 pbc="T T T"
Cd -1.829 1.516 1.437
Ho -6.605 -6.047 3.337
Ho -2.028 -2.577 0.138
Ho -3.250 -5.605 1.776
Ho -8.055 -4.623 -0.010
Ho -3.478 -1.154 -3.209
Ho -6.833 -1.595 -1.648
Ho -5.927 -7.209 0.063
Ho -4.156 0.009 0.065
Nd -4.793 -4.353 -1.506
Nd -5.291 -2.847 1.634
```

---

(20)
# MgRe2Mo

Crystalline MgRe2Mo at its relaxed geometry (PBE, Alexandria via LeMat-Bulk).

## Properties
Its crystal system is cubic. The raw total energy is -9.057 eV per atom. As for the space group: F-43m. The value obtained for the energy relative to the elements is 273 meV/atom. The density of states at the Fermi level is 1.330 states/eV/atom.

extended XYZ file:
```
4
Lattice="-1.407 2.789 -3.149 -3.715 -0.892 -2.255 -3.641 2.445 0.668" Properties=species:S:1:pos:R:3 pbc="T T T"
Mg -4.382 2.171 -2.368
Re -2.191 1.086 -1.184
Re 0.000 0.000 0.000
Mo -6.572 3.257 -3.552
```